# 1
# Cs3PuGe2I9

Crystalline Cs3PuGe2I9 at its relaxed geometry (PBE, the Alexandria database).

Properties
The value obtained for the formation energy (no corrections) is -0.9531 eV per atom.

Cell lengths 8.6636, 8.6636, 10.6260 Å; angles 90.00, 90.00, 120.00 degrees
Space group P-3m1 (No. 164)
Symmetry-distinct sites (fractional):
Cs  0.0000  0.0000  0.0000 (multiplicity 1)
Cs  0.3333  0.6667  0.6691 (multiplicity 2)
Pu  0.0000  0.0000  0.5000 (multiplicity 1)
Ge  0.3333  0.6667  0.1531 (multiplicity 2)
I  0.0000  0.5000  0.0000 (multiplicity 3)
I  0.1703  0.3406  0.3290 (multiplicity 6)


# 2
# Li2CaZr

Crystalline Li2CaZr at its relaxed geometry (PBE, the Alexandria database).

Properties
Its energy above the most stable polymorph in this dataset is 0.228 eV per atom. The calculation puts the formation energy from the elements at 0.48 eV per atom.

Cell lengths 4.344, 4.344, 10.417 Å; angles 90.00, 90.00, 90.00 degrees
Space group I-4m2 (No. 119)
Symmetry-distinct sites (fractional):
Li  0.000  0.000  0.000 (multiplicity 2)
Li  0.000  0.500  0.250 (multiplicity 2)
Ca  0.000  0.000  0.500 (multiplicity 2)
Zr  0.000  0.500  0.750 (multiplicity 2)


# 3
# MgAl2Ru

Crystalline MgAl2Ru at its relaxed geometry (PBE, the Alexandria database).

Properties
The calculation puts the formation energy from the elements at -0.39 eV per atom.

Cell lengths 3.157, 3.157, 6.276 Å; angles 90.00, 90.00, 90.00 degrees
Space group P4/mmm (No. 123)
Symmetry-distinct sites (fractional):
Mg  0.000  0.000  0.000 (multiplicity 1)
Al  0.500  0.500  0.286 (multiplicity 2)
Ru  0.000  0.000  0.500 (multiplicity 1)


# 4
# Sm2PuTl

Crystalline Sm2PuTl at its relaxed geometry (PBE, the Alexandria database).

Properties
Its energy above the most stable polymorph in this dataset is 0.270 eV per atom. The calculation puts the formation energy from the elements at 0.19 eV per atom.

Cell lengths 3.4727, 3.4727, 35.8853 Å; angles 90.00, 90.00, 120.00 degrees
Space group R-3m (No. 166, hexagonal axes)
Symmetry-distinct sites (fractional):
Sm  0.0000  0.0000  0.0919 (multiplicity 6)
Pu  0.0000  0.0000  0.0000 (multiplicity 3)
Tl  0.0000  0.0000  0.5000 (multiplicity 3)


# 5
# ZnAsN3

Crystalline ZnAsN3 at its relaxed geometry (PBE, the Alexandria database).

Properties
The value obtained for the formation energy (no corrections) is 1.5507 eV per atom.

Cell lengths 3.742, 3.742, 3.742 Å; angles 90.00, 90.00, 90.00 degrees
Space group Pm-3m (No. 221)
Symmetry-distinct sites (fractional):
Zn  0.000  0.000  0.000 (multiplicity 1)
As  0.500  0.500  0.500 (multiplicity 1)
N  0.000  0.500  0.500 (multiplicity 3)


# 6
# CaZrAs

Crystalline CaZrAs at its relaxed geometry (PBE, the Alexandria database).

Properties
Its energy above the most stable polymorph in this dataset is 0.539 eV per atom. The calculation puts the formation energy from the elements at -0.38 eV per atom.

Cell lengths 4.6192, 4.6192, 4.2048 Å; angles 90.00, 90.00, 120.00 degrees
Space group P3m1 (No. 156)
Symmetry-distinct sites (fractional):
Ca  0.0000  0.0000  0.0000 (multiplicity 1)
Zr  0.6667  0.3333  0.4996 (multiplicity 1)
As  0.3333  0.6667  0.4977 (multiplicity 1)


# 7
# AlRh2Au

Crystalline AlRh2Au at its relaxed geometry (PBE, the Alexandria database).

Properties
The calculation puts the formation energy from the elements at -0.34 eV per atom.

Cell lengths 2.879, 3.989, 5.429 Å; angles 90.00, 102.66, 90.00 degrees
Space group P2/m (No. 10)
Symmetry-distinct sites (fractional):
Al  0.000  0.000  0.000 (multiplicity 1)
Rh  0.379  0.500  0.227 (multiplicity 2)
Au  0.000  0.000  0.500 (multiplicity 1)


# 8
# Dy2TmTc

Crystalline Dy2TmTc at its relaxed geometry (PBE, the Alexandria database).

Properties
Its energy above the most stable polymorph in this dataset is 0.001 eV per atom. The calculation puts the formation energy from the elements at -0.11 eV per atom.

Cell lengths 3.865, 11.852, 9.134 Å; angles 90.00, 90.00, 90.00 degrees
Space group Cmcm (No. 63)
Symmetry-distinct sites (fractional):
Dy  0.000  0.143  0.065 (multiplicity 8)
Tm  0.000  0.428  0.250 (multiplicity 4)
Tc  0.000  0.239  0.750 (multiplicity 4)


Let's list size of the total moment in order: 6.02 3.62 0.00 18.89 0.00 0.84 0.00 0.00 Bohr magnetons per cell.